No. 1
Compound: TbPr2Y4Er2
Source: Alexandria via LeMat-Bulk
Functional: PBE
Structure: relaxed

For the formation energy from the elements, the calculation gives 0.082 eV/atom. For the total magnetization, the calculation gives 0.00 μB/atom.

The space group is P-1 (No. 2) and the conventional cell measures 6.010, 6.631 and 8.649 Å, with angles of 80.53, 70.75 and 65.67 degrees. Symmetry generates all atoms from Tb at (0.000, 0.000, 0.000), Pr at (0.272, 0.680, 0.657), Y at (0.254, 0.426, 0.114), Y at (0.387, 0.872, 0.238) and Er at (0.176, 0.234, 0.554).

=====

No. 2
Compound: Ac5YAu6
Source: Alexandria via LeMat-Bulk
Functional: PBE
Structure: relaxed

For the formation energy from the elements, the calculation gives -0.769 eV/atom. For the total magnetization, the calculation gives 0.00 μB/atom.

The space group is Immm (No. 71) and the conventional cell measures 5.462, 7.681 and 16.491 Å, with angles of 90.00, 90.00 and 90.00 degrees. Symmetry generates all atoms from Ac at (0.000, 0.000, 0.000), Ac at (0.000, 0.000, 0.333), Ac at (0.000, 0.500, 0.334), Y at (0.000, 0.500, 0.000), Au at (0.000, 0.227, 0.500) and Au at (0.000, 0.262, 0.158).

=====

No. 3
Compound: Ca5SnPb6
Source: Alexandria via LeMat-Bulk
Functional: PBE
Structure: relaxed

For the formation energy from the elements, the calculation gives -0.435 eV/atom. For the total magnetization, the calculation gives 0.00 μB/atom.

The space group is C2/m (No. 12) and the conventional cell measures 15.873, 9.466 and 5.020 Å, with angles of 90.00, 108.33 and 90.00 degrees. Symmetry generates all atoms from Ca at (0.000, 0.000, 0.000), Ca at (0.147, 0.500, 0.648), Ca at (0.172, 0.000, 0.673), Sn at (0.000, 0.500, 0.000), Pb at (0.000, 0.240, 0.500) and Pb at (0.169, 0.246, 0.170).

=====

No. 4
Compound: CsI2N
Source: Alexandria via LeMat-Bulk
Functional: PBE
Structure: relaxed

The formation energy without anion corrections comes out at 0.473 eV/atom. As for the energy above the most stable polymorph in this dataset: 0.00 eV per formula unit. For the total magnetization, the calculation gives 0.74 μB/atom.

The space group is P2_1/c (No. 14) and the conventional cell measures 6.485, 7.373 and 16.161 Å, with angles of 90.00, 113.63 and 90.00 degrees. Symmetry generates all atoms from Cs at (0.141, 0.247, 0.139), I at (0.137, 0.246, 0.387), I at (0.363, 0.746, 0.113) and N at (0.340, 0.589, 0.342).